[1]
Hg2Mo5O16: relaxed, PBEsol.

Summary:
The space-group type is P2/c.

a = 5.4507 Å, b = 9.2484 Å, c = 14.1035 Å
α = 108.78°, β = 90.00°, γ = 90.00°
With the nearest neighbours (Å) after each atom.
Element x y z (fractional)
Hg  0.7458  0.3915  0.8025  3 O 2.31-2.55, 1 Hg 2.56
Hg  0.7458  0.1085  0.6975  3 O 2.31-2.55, 1 Hg 2.56
Hg  0.2542  0.6085  0.1975  3 O 2.31-2.55, 1 Hg 2.56
Hg  0.2542  0.8915  0.3025  3 O 2.31-2.55, 1 Hg 2.56
Mo  0.6402  0.7500  0.7500  2 O 1.72
Mo  0.3598  0.2500  0.2500  2 O 1.72
Mo  0.2881  0.6991  0.9308  2 O 1.70-1.71
Mo  0.2881  0.8009  0.5692  2 O 1.70-1.71
Mo  0.7119  0.3009  0.0692  2 O 1.70-1.71
Mo  0.7119  0.1991  0.4308  2 O 1.70-1.71
Mo  0.1742  0.4597  0.5896  3 O 1.69-1.86
Mo  0.1742  0.0403  0.9104  3 O 1.69-1.86
Mo  0.8258  0.5403  0.4104  3 O 1.69-1.86
Mo  0.8258  0.9597  0.0896  3 O 1.69-1.86
O  0.3418  0.6202  0.0227  1 Mo 1.70
O  0.3418  0.8798  0.4773  1 Mo 1.70
O  0.6582  0.3798  0.9773  1 Mo 1.70
O  0.6582  0.1202  0.5227  1 Mo 1.70
O  0.1504  0.3690  0.6760  1 Mo 1.69
O  0.1504  0.1310  0.8240  1 Mo 1.69
O  0.8496  0.6310  0.3240  1 Mo 1.69
O  0.8496  0.8690  0.1760  1 Mo 1.69
O  0.0514  0.5891  0.8666  1 Mo 1.71
O  0.0514  0.9109  0.6334  1 Mo 1.71
O  0.9486  0.4109  0.1334  1 Mo 1.71
O  0.9486  0.0891  0.3666  1 Mo 1.71
O  0.5510  0.6241  0.8337  2 Mo 1.95-1.97
O  0.5510  0.8759  0.6663  2 Mo 1.95-1.97
O  0.6675  0.1429  0.1560  1 Mo 1.86
O  0.6675  0.3571  0.3440  1 Mo 1.86
O  0.3325  0.8571  0.8440  1 Mo 1.86
O  0.3325  0.6429  0.6560  1 Mo 1.86
O  0.8369  0.6146  0.6758  1 Mo 1.72
O  0.8369  0.8854  0.8242  1 Mo 1.72
O  0.1631  0.3854  0.3242  1 Mo 1.72
O  0.1631  0.1146  0.1758  1 Mo 1.72
O  0.8953  0.3805  0.5016  2 Mo 1.93-1.95
O  0.8953  0.1195  0.9984  2 Mo 1.93-1.95
O  0.1047  0.6195  0.4984  2 Mo 1.93-1.95
O  0.1047  0.8805  0.0016  2 Mo 1.93-1.95
O  0.5986  0.8583  0.0114  1 Mo 1.72
O  0.5986  0.6417  0.4886  1 Mo 1.72
O  0.4014  0.1417  0.9886  1 Mo 1.72
O  0.4014  0.3583  0.5114  1 Mo 1.72
O  0.4490  0.1241  0.3337  2 Mo 1.95-1.97
O  0.4490  0.3759  0.1663  2 Mo 1.95-1.97

---

[2]
Hg2MoO4: relaxed, PBEsol.

Summary:
Its energy above the lowest structure with this stoichiometry is 0.11 eV per formula unit. The space-group type is P2_1/c.

a = 5.1748 Å, b = 9.0142 Å, c = 10.8331 Å
α = 90.00°, β = 100.76°, γ = 90.00°
With the nearest neighbours (Å) after each atom.
Element x y z (fractional)
Hg  0.6574  0.8816  0.9390  1 O 2.19
Hg  0.3426  0.3816  0.5610  1 O 2.19
Hg  0.3426  0.1184  0.0610  1 O 2.19
Hg  0.6574  0.6184  0.4390  1 O 2.19
Hg  0.4483  0.7934  0.5794  1 O 2.16
Hg  0.5517  0.2934  0.9206  1 O 2.16
Hg  0.5517  0.2066  0.4206  1 O 2.16
Hg  0.4483  0.7066  0.0794  1 O 2.16
Mo  0.0315  0.0456  0.7176  4 O 1.74-1.80
Mo  0.9685  0.5456  0.7824  4 O 1.74-1.80
Mo  0.9685  0.9544  0.2824  4 O 1.74-1.80
Mo  0.0315  0.4544  0.2176  4 O 1.74-1.80
O  0.2968  0.9149  0.7222  1 Mo 1.80
O  0.7032  0.4149  0.7778  1 Mo 1.80
O  0.7032  0.0851  0.2778  1 Mo 1.80
O  0.2968  0.5851  0.2222  1 Mo 1.80
O  0.2146  0.5145  0.9132  1 Mo 1.74
O  0.7854  0.0146  0.5868  1 Mo 1.74
O  0.7854  0.4854  0.0868  1 Mo 1.74
O  0.2146  0.9854  0.4132  1 Mo 1.74
O  0.1568  0.2244  0.7077  1 Mo 1.75
O  0.8432  0.7244  0.7923  1 Mo 1.75
O  0.8432  0.7756  0.2923  1 Mo 1.75
O  0.1568  0.2756  0.2077  1 Mo 1.75
O  0.1001  0.9590  0.1406  1 Mo 1.79
O  0.8999  0.4590  0.3594  1 Mo 1.79
O  0.8999  0.0410  0.8594  1 Mo 1.79
O  0.1001  0.5410  0.6406  1 Mo 1.79

---

[3]
HgMoO2: relaxed, PBEsol.

Summary:
The space-group type is Fd-3m.

a = 6.0599 Å, b = 6.0599 Å, c = 6.0599 Å
α = 60.00°, β = 60.00°, γ = 60.00°
With the nearest neighbours (Å) after each atom.
Element x y z (fractional)
Mo  0.5000  0.5000  0.5000  4 O 1.86
Mo  0.7500  0.7500  0.7500  4 O 1.86
Hg  0.0000  0.0000  0.0000  12 O 3.55, 4 Mo 3.71, 4 Hg 3.71
Hg  0.2500  0.2500  0.2500  12 O 3.55, 4 Mo 3.71, 4 Hg 3.71
O  0.6250  0.1250  0.6250  2 Mo 1.86
O  0.1250  0.6250  0.6250  2 Mo 1.86
O  0.6250  0.6250  0.1250  2 Mo 1.86
O  0.6250  0.6250  0.6250  2 Mo 1.86

---

[4]
Hg2Mo2O7: relaxed, PBEsol.

Summary:
The space-group type is P-1.

a = 7.0994 Å, b = 7.1577 Å, c = 8.1583 Å
α = 64.38°, β = 65.99°, γ = 66.21°
With the nearest neighbours (Å) after each atom.
Element x y z (fractional)
Hg  0.1736  0.3262  0.3710  1 O 2.11
Hg  0.3722  0.1698  0.6214  1 O 2.13
Hg  0.8264  0.6738  0.6290  1 O 2.11
Hg  0.6278  0.8302  0.3786  1 O 2.13
Mo  0.8109  0.3719  0.1342  3 O 1.71-1.89
Mo  0.1891  0.6281  0.8658  3 O 1.71-1.89
Mo  0.6967  0.1245  0.8764  3 O 1.71-1.89
Mo  0.3033  0.8755  0.1236  3 O 1.71-1.89
O  0.5316  0.9991  0.8371  1 Mo 1.92, 1 Hg 2.13
O  0.2454  0.8089  0.6427  1 Mo 1.71
O  0.4684  0.0009  0.1629  1 Mo 1.92, 1 Hg 2.13
O  0.7133  0.2804  0.0054  2 Mo 1.89
O  0.1836  0.7447  0.3523  1 Mo 1.71
O  0.7546  0.1911  0.3573  1 Mo 1.71
O  0.9780  0.5415  0.8453  1 Mo 1.93, 1 Hg 2.11
O  0.5948  0.6015  0.1507  1 Mo 1.75
O  0.0220  0.4585  0.1547  1 Mo 1.93, 1 Hg 2.11
O  0.2867  0.7196  0.9946  2 Mo 1.89
O  0.0989  0.1088  0.0644  1 Mo 1.74
O  0.4052  0.3985  0.8493  1 Mo 1.75
O  0.9011  0.8912  0.9356  1 Mo 1.74
O  0.8164  0.2553  0.6477  1 Mo 1.71

---

[5]
HgSbMo2O: relaxed, PBEsol.

Summary:
The space-group type is P4/mmm.

a = 3.9195 Å, b = 5.1512 Å, c = 5.1512 Å
α = 90.00°, β = 90.00°, γ = 90.00°
With the nearest neighbours (Å) after each atom.
Element x y z (fractional)
Sb  0.5000  0.5000  0.5000  8 Mo 3.24
Mo  0.0000  0.0000  0.5000  2 Hg 2.58
Mo  0.0000  0.5000  0.0000  2 Hg 2.58
Hg  0.0000  0.0000  0.0000  2 O 1.96
O  0.5000  0.0000  0.0000  2 Hg 1.96

---

[6]
Tc2HgMoO: relaxed, PBEsol.

Summary:
The space-group type is P4/mmm.

a = 3.9013 Å, b = 3.9013 Å, c = 4.8595 Å
α = 90.00°, β = 90.00°, γ = 90.00°
With the nearest neighbours (Å) after each atom.
Element x y z (fractional)
Mo  0.5000  0.5000  0.5000  4 Hg 2.76
Hg  0.0000  0.0000  0.5000  2 O 2.43
O  0.0000  0.0000  0.0000  4 Tc 1.95
Tc  0.0000  0.5000  0.0000  2 O 1.95
Tc  0.5000  0.0000  0.0000  2 O 1.95

---

no.,density of states at the Fermi level (states/eV/f.u.),formation energy without anion corrections (eV per formula unit)
1,0.00,-39.550
2,0.00,-8.686
3,1.77,-4.272
4,0.00,-16.608
5,4.36,8.337
6,5.84,2.503